Compound: YAg2Pd
Source: Alexandria via LeMat-Bulk
Functional: PBE-GGA
Structure: optimized geometry

Values from the calculation:
Final energy: -36.54 eV per cell
DOS at the Fermi energy: 1.89 states/eV/f.u.
E_form: -228 meV/atom
Size of the total moment: 0.00 μB/atom

a b c (Å): 10.859 10.859 10.859
angles (deg): 158.69 158.69 30.32
Atoms (fractional coordinates):
Y (0.000, 0.000, 0.000)
Y (0.750, 0.250, 0.500)
Ag (0.143, 0.625, 0.018)
Ag (0.375, 0.393, 0.518)
Ag (0.607, 0.125, 0.982)
Ag (0.875, 0.857, 0.482)
Pd (0.250, 0.750, 0.500)
Pd (0.500, 0.500, 0.000)

Compound: YZrAgPd
Source: Alexandria via LeMat-Bulk
Functional: PBE-GGA
Structure: optimized geometry

Values from the calculation:
Final energy: -24.52 eV per cell
DOS at the Fermi energy: 4.10 states/eV/f.u.
E_form: -367 meV/atom
Size of the total moment: 0.00 μB/atom

a b c (Å): 4.933 4.933 4.933
angles (deg): 60.00 60.00 60.00
Atoms (fractional coordinates):
Y (0.000, 0.000, 0.000)
Zr (0.500, 0.500, 0.500)
Ag (0.750, 0.750, 0.750)
Pd (0.250, 0.250, 0.250)

Compound: Yb2AgPd
Source: Alexandria via LeMat-Bulk
Functional: PBE-GGA
Structure: optimized geometry

Values from the calculation:
Final energy: -13.38 eV per cell
DOS at the Fermi energy: 31.41 states/eV/f.u.
E_form: -570 meV/atom
Size of the total moment: 0.12 μB/atom

a b c (Å): 5.071 5.071 5.071
angles (deg): 60.00 60.00 60.00
Atoms (fractional coordinates):
Yb (0.250, 0.250, 0.250)
Yb (0.750, 0.750, 0.750)
Ag (0.000, 0.000, 0.000)
Pd (0.500, 0.500, 0.500)

Compound: Yb2AgPd
Source: Alexandria via LeMat-Bulk
Functional: PBE-GGA
Structure: optimized geometry

Values from the calculation:
Final energy: -13.43 eV per cell
DOS at the Fermi energy: 28.21 states/eV/f.u.
E_form: -583 meV/atom
Size of the total moment: 0.10 μB/atom

a b c (Å): 3.554 3.554 7.275
angles (deg): 90.00 90.00 90.00
Atoms (fractional coordinates):
Yb (0.000, 0.000, 0.234)
Yb (0.000, 0.000, 0.766)
Ag (0.500, 0.500, 0.500)
Pd (0.500, 0.500, 0.000)

Compound: Zn2Ag2Pd15
Source: Alexandria via LeMat-Bulk
Functional: PBE-GGA
Structure: optimized geometry

Values from the calculation:
Final energy: -84.99 eV per cell
DOS at the Fermi energy: 22.33 states/eV/f.u.
E_form: 61 meV/atom
Size of the total moment: 0.00 μB/atom

a b c (Å): 6.922 6.922 6.922
angles (deg): 81.16 81.16 81.16
Atoms (fractional coordinates):
Zn (0.106, 0.106, 0.106)
Zn (0.894, 0.894, 0.894)
Ag (0.379, 0.379, 0.379)
Ag (0.621, 0.621, 0.621)
Pd (0.000, 0.000, 0.500)
Pd (0.000, 0.316, 0.684)
Pd (0.000, 0.500, 0.000)
Pd (0.000, 0.684, 0.316)
Pd (0.160, 0.660, 0.660)
Pd (0.316, 0.000, 0.684)
Pd (0.316, 0.684, 0.000)
Pd (0.340, 0.340, 0.840)
Pd (0.340, 0.840, 0.340)
Pd (0.500, 0.000, 0.000)
Pd (0.660, 0.160, 0.660)
Pd (0.660, 0.660, 0.160)
Pd (0.684, 0.000, 0.316)
Pd (0.684, 0.316, 0.000)
Pd (0.840, 0.340, 0.340)

Compound: ZnAg2Pd2
Source: Alexandria via LeMat-Bulk
Functional: PBE-GGA
Structure: optimized geometry

Values from the calculation:
Final energy: -18.73 eV per cell
DOS at the Fermi energy: 1.59 states/eV/f.u.
E_form: -274 meV/atom
Size of the total moment: 0.00 μB/atom

a b c (Å): 9.407 9.407 9.407
angles (deg): 161.98 161.98 25.60
Atoms (fractional coordinates):
Zn (0.000, 0.000, 0.000)
Ag (0.194, 0.194, 0.000)
Ag (0.806, 0.806, 0.000)
Pd (0.413, 0.413, 0.000)
Pd (0.587, 0.587, 0.000)

What did the second record say?
Compound: YZrAgPd
Source: Alexandria via LeMat-Bulk
Functional: PBE-GGA
Structure: optimized geometry

Values from the calculation:
Final energy: -24.52 eV per cell
DOS at the Fermi energy: 4.10 states/eV/f.u.
E_form: -367 meV/atom
Size of the total moment: 0.00 μB/atom

a b c (Å): 4.933 4.933 4.933
angles (deg): 60.00 60.00 60.00
Atoms (fractional coordinates):
Y (0.000, 0.000, 0.000)
Zr (0.500, 0.500, 0.500)
Ag (0.750, 0.750, 0.750)
Pd (0.250, 0.250, 0.250)

The lowest final energy belongs to which entry?
Zn2Ag2Pd15

What is the final energy in the fifth record?
-84.99 eV per cell